A | # TlInAg

An optimized crystal structure of TlInAg (PBE-GGA, the Alexandria database).

abc: 3.450 4.768 9.192
angles: 90.00 94.59 90.00
Positions (direct):
In 0.019 0.250 0.671
In 0.981 0.750 0.329
Ag 0.530 0.750 0.602
Ag 0.470 0.250 0.398
Tl 0.223 0.750 0.910
Tl 0.777 0.250 0.090

Results
- crystal system = monoclinic
- theoretical density (g/cm³) = 9.410
- magnetic moment (Bohr magnetons per cell) = 0.0

---

B | # TlInAg

An optimized crystal structure of TlInAg (PBE-GGA, the Alexandria database).

abc: 5.055 5.055 3.414
angles: 90.00 90.00 120.00
Positions (direct):
Tl 0.333 0.667 0.670
Ag 0.000 0.000 0.157
In 0.667 0.333 0.173

Results
- crystal system = trigonal
- theoretical density (g/cm³) = 9.387
- magnetic moment (Bohr magnetons per cell) = 0.0

---

C | # TlInAg

An optimized crystal structure of TlInAg (PBE-GGA, the Alexandria database).

abc: 4.843 4.843 4.843
angles: 60.00 60.00 60.00
Positions (direct):
Ag 0.750 0.750 0.750
Tl 0.500 0.500 0.500
In 0.000 0.000 0.000

Results
- crystal system = cubic
- theoretical density (g/cm³) = 8.830
- magnetic moment (Bohr magnetons per cell) = 0.0

---

D | # TlInAg

An optimized crystal structure of TlInAg (PBE-GGA, the Alexandria database).

abc: 3.363 3.357 15.133
angles: 90.00 90.00 120.07
Positions (direct):
Ag 0.614 0.227 0.647
Ag 0.614 0.227 0.353
In 0.280 0.560 0.500
In 0.607 0.214 0.000
Tl 0.276 0.553 0.811
Tl 0.276 0.553 0.189

Results
- crystal system = orthorhombic
- theoretical density (g/cm³) = 9.593
- magnetic moment (Bohr magnetons per cell) = 0.0

---

The structure with the least stability is B.

---

A | # Tm3InAg

An optimized crystal structure of Tm3InAg (PBE-GGA, the Alexandria database).

abc: 5.044 5.043 10.526
angles: 90.00 76.14 90.00
Positions (direct):
Tm 0.263 0.750 0.123
Tm 0.074 0.750 0.501
Tm 0.764 0.250 0.120
Tm 0.574 0.250 0.499
Tm 0.386 0.250 0.877
Tm 0.884 0.750 0.880
In 0.981 0.250 0.687
In 0.668 0.750 0.313
Ag 0.165 0.250 0.318
Ag 0.483 0.750 0.682

Results
- crystal system = orthorhombic
- theoretical density (g/cm³) = 9.320
- magnetic moment (Bohr magnetons per cell) = 0.0

---

B | # Tm3InAg

An optimized crystal structure of Tm3InAg (PBE-GGA, the Alexandria database).

abc: 6.645 6.645 14.503
angles: 84.28 84.28 56.86
Positions (direct):
Tm 0.992 0.344 0.705
Tm 0.851 0.532 0.099
Tm 0.344 0.992 0.205
Tm 0.183 0.946 0.894
Tm 0.054 0.817 0.606
Tm 0.468 0.149 0.401
Tm 0.532 0.851 0.599
Tm 0.008 0.656 0.295
Tm 0.946 0.183 0.394
Tm 0.149 0.468 0.901
Tm 0.817 0.054 0.106
Tm 0.656 0.008 0.795
In 0.428 0.685 0.411
In 0.572 0.315 0.589
In 0.315 0.572 0.089
In 0.685 0.428 0.911
Ag 0.405 0.595 0.750
Ag 0.500 0.000 0.000
Ag 0.595 0.405 0.250
Ag 0.000 0.500 0.500

Results
- crystal system = monoclinic
- theoretical density (g/cm³) = 9.096
- magnetic moment (Bohr magnetons per cell) = 0.0

---

The structure with the least stability is B.